4
Lattice="4.831 0.197 0.000 1.399 4.629 0.000 -3.115 -2.413 2.802" Properties=species:S:1:pos:R:3 comment="Mn2CdCu, optimized geometry, DFT PBE" rho_g_cm3=7.7 n_ef_per_ev_cell=3.36 vol_a3_per_atom=15.47 space_group=I-4m2 e_form_ev_per_fu=1.38 energy_ev_per_atom=-5.493 pbc="T T T"
Cd 3.115 2.413 0.000
Mn 0.700 2.314 1.401
Mn 0.000 0.000 0.000
Cu 2.416 0.099 1.401